Density functional theory data (PBE with a Hubbard U) for a relaxed structure of TlCr2F8.

a = 3.9251 Å, b = 5.8616 Å, c = 7.9487 Å
α = 111.26°, β = 90.94°, γ = 71.15°
Site moments in Bohr magnetons follow the coordinates.
Positions (direct):
F1 0.5796 0.8387 0.5766  -0.01
Cr1 0.3885 0.2248 0.6816  2.92
F2 0.5989 0.7962 0.0779  -0.01
F3 0.2095 0.5911 0.7572  0.01
Cr2 0.6115 0.7752 0.3184  2.92
Tl1 0.0000 0.0000 0.0000  0.00
F4 0.4011 0.2038 0.9221  -0.01
F5 0.8953 0.2116 0.6927  0.00
F6 0.4204 0.1613 0.4234  -0.01
F7 0.7905 0.4089 0.2428  0.01
F8 0.1047 0.7884 0.3073  0.00

Results
* energy: -5.345 eV per atom
* crystal system: triclinic
* calculated volume: 14.57 A^3/atom